NaHoPaO4, optimized geometry, DFT PBE; ΔE_f (raw) = -3.04 eV/atom; total magnetization = 0.144 μB/atom; D(E_F) = 4.36 states/eV per cell
1.0
-6.2720 -1.0515 -3.2249
5.8435 0.7298 -3.7198
-0.9485 -5.6851 3.6982
Pa O Na Ho
2 8 2 2
direct
0.5000 0.5000 0.5000
0.0000 0.5000 0.5000
0.3107 0.0448 0.2724
0.2659 0.9552 0.7276
0.7341 0.0448 0.2724
0.2665 0.5329 0.3042
0.6893 0.9552 0.7276
0.2665 0.5329 0.7287
0.7335 0.4671 0.6958
0.7335 0.4671 0.2713
0.8820 0.7641 0.1320
0.1180 0.2359 0.8680
0.5000 0.0000 0.0000
0.5000 0.0000 0.5000